Computed, not measured: a relaxed structure of Er3GaTe2 at the GGA-PBE level of DFT.

Summary:
The spin magnetization is 0.00 μB/cell. Its uncorrected formation energy is -1.061 eV/atom. Its space-group type is Immm. The value obtained for the offset from the most stable computed form is 0 meV per atom.

a b c (Å): 7.5385 7.5385 7.5385
angles (deg): 147.88 132.83 58.21
Positions (direct):
1 Er 0.0000 0.0000 0.0000
2 Er 0.3497 0.3497 0.0000
3 Er 0.6503 0.6503 0.0000
4 Ga 0.5000 0.0000 0.5000
5 Te 0.1738 0.6738 0.5000
6 Te 0.8262 0.3262 0.5000